Material: Cs2K2Cd
Method: DFT, PBE-GGA
State: relaxed

Cell: 10.1957 16.0931 10.0672 Å, 90.00 117.18 90.00°
With the nearest neighbours (Å) after each atom.
Space group C2/m (No. 12)
Asymmetric unit:
Cs: 0.0478 0.2179 0.2616 [8 per cell]  1 Cd 4.04
K: 0.2232 0.5000 0.8838 [4 per cell]  2 Cd 3.78
K: 0.2470 0.0000 0.6332 [4 per cell]  2 Cd 3.72
Cd: 0.0000 0.4073 0.5000 [4 per cell]  1 Cd 2.98

**Energy of formation from the pure elements**: -1.50 kJ per mole of atoms
**Magnetization**: 0.00 μB per formula unit